a) Pm4Dy3Th2 PBE relaxed; N(E_F) = 12.6 states/eV/f.u.; SG = C2/m (12)
1.0
9.413 -1.815 0.000
9.413 1.815 0.000
-4.174 0.000 8.687
Pm Dy Th
4 3 2
direct
0.016 0.016 0.332 Pm
0.315 0.315 0.675 Pm
0.685 0.685 0.325 Pm
0.984 0.984 0.668 Pm
0.349 0.349 0.325 Dy
0.500 0.500 0.000 Dy
0.651 0.651 0.675 Dy
0.168 0.168 0.999 Th
0.832 0.832 0.001 Th

---

b) Pm4Dy3Th2 PBE relaxed; N(E_F) = 17.0 states/eV/f.u.; SG = P3m1 (156)
1.0
3.583 0.000 0.000
-1.791 3.103 0.000
0.000 0.000 26.961
Pm Dy Th
4 3 2
direct
0.000 0.000 0.000 Pm
0.000 0.000 0.215 Pm
0.333 0.667 0.328 Pm
0.333 0.667 0.546 Pm
0.000 0.000 0.436 Dy
0.333 0.667 0.106 Dy
0.333 0.667 0.765 Dy
0.000 0.000 0.656 Th
0.000 0.000 0.872 Th

---

a) is preferred energetically. Next in line: 0.068 eV/atom higher.

---

a) PmDyTmTh PBE relaxed; N(E_F) = 8.3 states/eV/f.u.; SG = F-43m (216)
1.0
0.000 4.016 4.016
4.016 0.000 4.016
4.016 4.016 0.000
Pm Dy Tm Th
1 1 1 1
direct
0.000 0.000 0.000 Pm
0.250 0.250 0.250 Dy
0.500 0.500 0.500 Tm
0.750 0.750 0.750 Th

---

b) PmDyTmTh PBE relaxed; N(E_F) = 6.1 states/eV/f.u.; SG = R3m (160)
1.0
1.794 1.036 11.490
-1.794 1.036 11.490
0.000 -2.071 11.490
Pm Dy Tm Th
1 1 1 1
direct
0.000 0.000 0.000 Pm
0.248 0.248 0.248 Dy
0.419 0.419 0.419 Tm
0.833 0.833 0.833 Th

---

b) is preferred energetically. Next in line: 0.162 eV/atom higher.

---

a) PmDyThZn PBE relaxed; N(E_F) = 5.1 states/eV/f.u.; SG = P4mm (99)
1.0
3.590 0.000 0.000
0.000 3.590 0.000
0.000 0.000 8.648
Pm Dy Th Zn
1 1 1 1
direct
0.000 0.000 0.000 Pm
0.000 0.000 0.426 Dy
0.500 0.500 0.709 Th
0.500 0.500 0.223 Zn

---

b) PmDyThZn PBE relaxed; N(E_F) = 7.7 states/eV/f.u.; SG = F-43m (216)
1.0
0.000 3.818 3.818
3.818 0.000 3.818
3.818 3.818 0.000
Pm Dy Th Zn
1 1 1 1
direct
0.000 0.000 0.000 Pm
0.250 0.250 0.250 Dy
0.750 0.750 0.750 Th
0.500 0.500 0.500 Zn

---

a) is preferred energetically. Next in line: 0.282 eV/atom higher.

---

a) Pm2DyTl2 PBE relaxed; N(E_F) = 5.4 states/eV/f.u.; SG = P2_1/m (11)
1.0
4.482 0.000 0.000
0.000 4.989 0.000
-2.237 0.000 13.089
Pm Dy Tl
4 2 4
direct
0.049 0.250 0.099 Pm
0.238 0.250 0.478 Pm
0.762 0.750 0.522 Pm
0.951 0.750 0.901 Pm
0.143 0.750 0.287 Dy
0.857 0.250 0.713 Dy
0.350 0.750 0.700 Tl
0.452 0.250 0.904 Tl
0.548 0.750 0.096 Tl
0.650 0.250 0.300 Tl

---

b) Pm2DyTl2 PBE relaxed; N(E_F) = 5.4 states/eV/f.u.; SG = Cmc2_1 (36)
1.0
2.801 -8.157 0.000
2.801 8.157 0.000
0.000 0.000 6.570
Pm Dy Tl
4 2 4
direct
0.032 0.968 0.500 Pm
0.198 0.802 0.961 Pm
0.802 0.198 0.461 Pm
0.968 0.032 0.000 Pm
0.403 0.597 0.709 Dy
0.597 0.403 0.209 Dy
0.221 0.779 0.447 Tl
0.404 0.596 0.226 Tl
0.596 0.404 0.726 Tl
0.779 0.221 0.947 Tl

---

a) is preferred energetically. Next in line: 0.033 eV/atom higher.